Entry 1:
An optimized crystal structure of PrGaGe4, computed with PBE.

Lattice parameters (Å, degrees): 7.968 7.968 7.968 90.00 90.00 90.00
Space group F-43m (No. 216)
Unique sites:
1 Pr 0.000 0.000 0.000 x4
2 Ga 0.250 0.250 0.250 x4
3 Ge 0.124 0.124 0.624 x16

Total DFT energy (no corrections) ... -4.57 eV per atom
N(E_F) ... 3.00 states/eV/f.u.
ρ ... 6.58 g cm⁻³

***

Entry 2:
An optimized crystal structure of ScMo2OsPt, computed with PBE.

Lattice parameters (Å, degrees): 4.727 4.727 4.775 90.00 90.00 90.00
Space group P4/mmm (No. 123)
Unique sites:
1 Sc 0.000 0.000 0.000 x1
2 Mo 0.000 0.500 0.500 x2
3 Os 0.500 0.500 0.000 x1
4 Pt 0.000 0.000 0.500 x1

Total DFT energy (no corrections) ... -7.48 eV per atom
N(E_F) ... 7.63 states/eV/f.u.
ρ ... 9.68 g cm⁻³

***

Question: Which of these has the highest N(E_F)?
Answer: ScMo2OsPt